Entry 1:
# ZrTe

A relaxed structure of ZrTe (PBE, OQMD via LeMat-Bulk).

Lattice parameters (Å, degrees): 7.1398 5.5972 8.0963 90.00 104.80 90.00
Positions (direct):
Zr 0.0797 0.2500 0.0453
Zr 0.3122 0.7500 0.2605
Zr 0.3713 0.7500 0.8757
Zr 0.6287 0.2500 0.1243
Zr 0.6878 0.2500 0.7395
Zr 0.9203 0.7500 0.9547
Te 0.0863 0.7500 0.5307
Te 0.3087 0.2500 0.8072
Te 0.3805 0.2500 0.3668
Te 0.6195 0.7500 0.6332
Te 0.6913 0.7500 0.1928
Te 0.9137 0.2500 0.4693

Calculated values
VASP energy: -6.359 eV per atom
Spin magnetization: 0.02 Bohr magnetons per cell

Entry 2:
# AgC8

A relaxed structure of AgC8 (PBE, OQMD via LeMat-Bulk).

Lattice parameters (Å, degrees): 4.9294 4.9294 5.9164 90.00 90.00 120.00
Positions (direct):
Ag 0.0000 0.0000 0.0000
C 0.1670 0.3340 0.5000
C 0.1670 0.8330 0.5000
C 0.3333 0.6667 0.5000
C 0.3340 0.1670 0.5000
C 0.6660 0.8330 0.5000
C 0.6667 0.3333 0.5000
C 0.8330 0.1670 0.5000
C 0.8330 0.6660 0.5000

Calculated values
VASP energy: -8.254 eV per atom
Offset from the most stable computed form: 0.0 meV/atom